Computed, not measured: an optimized crystal structure of Ce2BeSe at the GGA-PBE level of DFT.

a b c (Å): 3.748 3.748 10.018
angles (deg): 79.22 79.22 60.00
Positions (direct):
Ce 0.899 0.899 0.302
Ce 0.101 0.101 0.698
Be 0.000 0.000 0.000
Se 0.500 0.500 0.500

Properties
- total magnetic moment (μB per formula unit) = 3.71
- E_form (uncorrected) (meV/atom) = 86
- space-group type = R-3m (166)